(1)
Density functional theory data (PBE) for LuScAg after structural relaxation.

As for the size of the total moment: 0.00 Bohr magnetons per cell. For the energy of formation, the calculation gives -0.04 eV/atom. For the electronic total energy, the calculation gives -4.612 eV/atom. The value obtained for the energy above the lowest structure with this stoichiometry is 0.35 eV/f.u.

The space group is P3m1 (No. 156) and the conventional cell measures 4.8566, 4.8566 and 3.4534 Å, with angles of 90.00, 90.00 and 120.00 degrees. The asymmetric unit holds Lu at (0.0000, 0.0000, 0.0000), Sc at (0.3333, 0.6667, 0.5431) and Ag at (0.6667, 0.3333, 0.3284).

=====

(2)
Density functional theory data (PBE) for EuThIn after structural relaxation.

As for the size of the total moment: 7.57 Bohr magnetons per cell. For the energy of formation, the calculation gives -0.05 eV/atom. For the electronic total energy, the calculation gives -6.856 eV/atom. The value obtained for the energy above the lowest structure with this stoichiometry is 0.25 eV/f.u.

The space group is P3m1 (No. 156) and the conventional cell measures 5.4438, 5.4438 and 3.5777 Å, with angles of 90.00, 90.00 and 120.00 degrees. The asymmetric unit holds Eu at (0.0000, 0.0000, 0.0000), Th at (0.6667, 0.3333, 0.5958) and In at (0.3333, 0.6667, 0.3065).

=====

(3)
Density functional theory data (PBE) for PbW2I after structural relaxation.

As for the size of the total moment: 0.00 Bohr magnetons per cell. For the raw formation energy, the calculation gives 1.486 eV per atom. For the electronic total energy, the calculation gives -6.305 eV/atom. The value obtained for the energy above the lowest structure with this stoichiometry is 0.00 eV/f.u.

The space group is Fm-3m (No. 225) and the conventional cell measures 6.7830, 6.7830 and 6.7830 Å, with angles of 90.00, 90.00 and 90.00 degrees. The asymmetric unit holds Pb at (0.0000, 0.0000, 0.0000), W at (0.2500, 0.2500, 0.2500) and I at (0.0000, 0.0000, 0.5000).